Entry one
Below is a geometry-optimized MgIn2Cl6 structure, with properties calculated at the PBE level.

a b c (Å): 6.591 10.355 10.355
angles (deg): 70.57 79.36 79.36
Element x y z (fractional)
In1 0.209 0.471 0.698
In2 0.291 0.302 0.529
In3 0.709 0.698 0.471
In4 0.791 0.529 0.302
Cl1 0.322 0.711 0.564
Cl2 0.541 0.037 0.823
Cl3 0.041 0.823 0.037
Cl4 0.190 0.085 0.569
Cl5 0.690 0.569 0.085
Cl6 0.959 0.177 0.963
Cl7 0.822 0.564 0.711
Cl8 0.178 0.436 0.289
Cl9 0.310 0.431 0.915
Cl10 0.678 0.289 0.436
Cl11 0.459 0.963 0.177
Cl12 0.810 0.915 0.431
Mg1 0.750 0.000 0.000
Mg2 0.250 0.000 0.000

Space group ... C2/c

=====

Entry two
Below is a geometry-optimized MgIn2Cl6 structure, with properties calculated at the PBE level.

a b c (Å): 9.901 8.058 8.058
angles (deg): 76.49 75.76 75.76
Element x y z (fractional)
Cl1 0.533 0.614 0.704
Cl2 0.359 0.975 0.203
Cl3 0.859 0.203 0.975
Cl4 0.294 0.043 0.649
Cl5 0.467 0.386 0.296
Cl6 0.706 0.957 0.351
Cl7 0.141 0.797 0.025
Cl8 0.641 0.025 0.797
Cl9 0.206 0.351 0.957
Cl10 0.033 0.704 0.614
Cl11 0.967 0.296 0.386
Cl12 0.794 0.649 0.043
In1 0.241 0.278 0.299
In2 0.259 0.701 0.722
In3 0.741 0.299 0.278
In4 0.759 0.722 0.701
Mg1 0.750 0.953 0.047
Mg2 0.250 0.047 0.953

Space group ... C2/c

=====

Short version: entry one, entry two, most stable first.

=====

Entry one
Below is a geometry-optimized MgInS2Cl structure, with properties calculated at the PBE level.

a b c (Å): 4.938 4.938 4.812
angles (deg): 90.00 90.00 90.00
Element x y z (fractional)
Cl1 0.000 0.000 0.500
S1 0.000 0.500 0.000
S2 0.500 0.000 0.000
In1 0.500 0.500 0.500
Mg1 0.000 0.000 0.000

Space group ... P4/mmm

=====

Entry two
Below is a geometry-optimized MgInS2Cl structure, with properties calculated at the PBE level.

a b c (Å): 5.115 5.115 5.007
angles (deg): 90.00 90.00 90.00
Element x y z (fractional)
S1 0.500 0.000 0.000
S2 0.000 0.500 0.000
Mg1 0.500 0.500 0.500
Cl1 0.000 0.000 0.500
In1 0.000 0.000 0.000

Space group ... P4/mmm

=====

Short version: entry one, entry two, most stable first.

=====

Entry one
Below is a geometry-optimized Mn3InCl structure, with properties calculated at the PBE level.

a b c (Å): 5.249 5.249 5.249
angles (deg): 90.00 90.00 90.00
Element x y z (fractional)
Mn1 0.000 0.000 0.500
Mn2 0.000 0.500 0.000
Mn3 0.500 0.000 0.000
In1 0.000 0.000 0.000
Cl1 0.500 0.500 0.500

Space group ... Pm-3m

=====

Entry two
Below is a geometry-optimized Mn3InCl structure, with properties calculated at the PBE level.

a b c (Å): 4.298 4.298 4.298
angles (deg): 90.00 90.00 90.00
Element x y z (fractional)
Mn1 0.000 0.000 0.500
Mn2 0.500 0.000 0.000
Mn3 0.000 0.500 0.000
In1 0.500 0.500 0.500
Cl1 0.000 0.000 0.000

Space group ... Pm-3m

=====

Short version: entry two, entry one, most stable first.

=====

Entry one
Below is a geometry-optimized MnIn2Cl4 structure, with properties calculated at the PBE level.

a b c (Å): 7.087 7.393 9.176
angles (deg): 90.00 110.46 90.00
Element x y z (fractional)
Cl1 0.070 0.750 0.940
Cl2 0.041 0.750 0.344
Cl3 0.959 0.250 0.656
Cl4 0.517 0.000 0.721
Cl5 0.930 0.250 0.060
Cl6 0.483 0.500 0.279
Cl7 0.517 0.500 0.721
Cl8 0.483 0.000 0.279
In1 0.228 0.250 0.438
In2 0.772 0.750 0.562
In3 0.311 0.250 0.979
In4 0.689 0.750 0.021
Mn1 0.263 0.750 0.207
Mn2 0.737 0.250 0.793

Space group ... P2_1/m

=====

Entry two
Below is a geometry-optimized MnIn2Cl4 structure, with properties calculated at the PBE level.

a b c (Å): 5.051 5.051 8.666
angles (deg): 73.06 73.06 90.00
Element x y z (fractional)
Cl1 0.500 0.000 0.000
Cl2 0.159 0.159 0.681
Cl3 0.841 0.841 0.319
Cl4 0.000 0.500 0.000
In1 0.644 0.644 0.713
In2 0.356 0.356 0.287
Mn1 0.000 0.000 0.000

Space group ... I4/mmm

=====

Short version: entry one, entry two, most stable first.

=====

Entry one
Below is a geometry-optimized MnIn3Cl structure, with properties calculated at the PBE level.

a b c (Å): 5.567 5.567 5.567
angles (deg): 90.00 90.00 90.00
Element x y z (fractional)
Cl1 0.000 0.000 0.000
In1 0.000 0.500 0.000
In2 0.500 0.000 0.000
In3 0.000 0.000 0.500
Mn1 0.500 0.500 0.500

Space group ... Pm-3m

=====

Entry two
Below is a geometry-optimized MnIn3Cl structure, with properties calculated at the PBE level.

a b c (Å): 5.194 5.194 5.194
angles (deg): 90.00 90.00 90.00
Element x y z (fractional)
Cl1 0.500 0.500 0.500
Mn1 0.000 0.000 0.000
In1 0.500 0.000 0.000
In2 0.000 0.500 0.000
In3 0.000 0.000 0.500

Space group ... Pm-3m

=====

Short version: entry two, entry one, most stable first.

=====

Entry one
Below is a geometry-optimized MnInCl2 structure, with properties calculated at the PBE level.

a b c (Å): 3.321 3.321 8.346
angles (deg): 90.00 90.00 90.00
Element x y z (fractional)
In1 0.000 0.000 0.514
Cl1 0.500 0.500 0.306
Cl2 0.000 0.000 0.913
Mn1 0.500 0.500 0.766

Space group ... P4mm

=====

Entry two
Below is a geometry-optimized MnInCl2 structure, with properties calculated at the PBE level.

a b c (Å): 6.602 6.602 6.602
angles (deg): 143.89 143.89 52.00
Element x y z (fractional)
Mn1 0.750 0.250 0.500
Cl1 0.250 0.750 0.500
Cl2 0.000 0.000 0.000
In1 0.500 0.500 0.000

Space group ... I-4m2

=====

Entry three
Below is a geometry-optimized MnInCl2 structure, with properties calculated at the PBE level.

a b c (Å): 5.129 5.129 5.129
angles (deg): 60.00 60.00 60.00
Element x y z (fractional)
Mn1 0.750 0.750 0.750
Cl1 0.250 0.250 0.250
Cl2 0.000 0.000 0.000
In1 0.500 0.500 0.500

Space group ... F-43m

=====

Short version: entry one, entry two, entry three, most stable first.